# meta-GGA SCAN TlBiSeBr2, single point on PBEsol structure
data_TlBiSeBr2
_space_group_name_H-M_alt 'P 1'
_space_group_IT_number 1
_space_group_name_Hall 'P 1'
_cell_length_a 5.679
_cell_length_b 5.679
_cell_length_c 5.511
_cell_angle_alpha 90.00
_cell_angle_beta 90.00
_cell_angle_gamma 90.00
loop_
_atom_site_label
_atom_site_fract_x
_atom_site_fract_y
_atom_site_fract_z
_atom_site_occupancy
Tl1 0.000 0.000 0.000 1
Bi1 0.500 0.500 0.500 1
Se1 0.500 0.500 0.000 1
Br1 0.000 0.500 0.500 1
Br2 0.500 0.000 0.500 1
# * crystal system: tetragonal
# * M_tot: 0.000 Bohr magnetons per cell
# * uncorrected energy: -42.416 eV/atom
# * space group: P4/mmm (123)
# * raw formation energy: -0.429 eV per atom